An optimized crystal structure of Pm4HoSe5, computed with GGA-PBE.

POSCAR file:
```
Pm4HoSe5
1.0
4.121 0.000 -0.581
-0.082 4.120 -0.581
0.027 0.027 15.100
Ho Se Pm
1 5 4
direct
0.000 0.000 0.000
0.703 0.703 0.405
0.500 0.500 0.000
0.904 0.904 0.808
0.096 0.096 0.192
0.297 0.297 0.595
0.805 0.805 0.610
0.602 0.602 0.204
0.195 0.195 0.390
0.398 0.398 0.796
```

Calculated values
Density of states at the Fermi level ... 4.5 states/eV/f.u.
Formation energy from raw total energies ... -1808 meV/atom
Symmetry ... I4/mmm